RbLi2MgI6: optimized geometry, PBE.

```
RbLi2MgI6
1.0
9.2090 0.3381 0.3509
3.3989 10.6384 -0.6438
3.3989 -1.0376 10.6072
Rb Mg Li I
2 2 4 12
Cartesian
5.7012 9.2855 0.8291 Rb
10.3057 0.6535 9.4853 Rb
5.7012 1.0620 8.7532 Mg
10.3057 8.8769 1.5612 Mg
3.1691 4.2163 2.4357 Li
8.2333 7.4921 5.8352 Li
12.8378 5.7226 7.8786 Li
7.7736 2.4469 4.4792 Li
5.5995 6.4057 5.8538 I
12.9021 3.2517 9.1035 I
7.7092 1.1313 6.9030 I
8.1797 0.7157 2.3126 I
8.2976 8.8076 3.4114 I
10.2040 5.7815 6.7937 I
3.5752 2.1154 0.6255 I
7.8272 9.2232 8.0018 I
12.4317 7.8235 9.6889 I
5.8029 4.1575 3.5206 I
10.4074 3.5332 4.4606 I
3.1047 6.6873 1.2109 I
```

Results
SG: C2/c
Formation energy from raw total energies, eV per atom: -1.0221

***

MnAg2Os: optimized geometry, PBE.

```
MnAg2Os
1.0
5.5797 0.0051 0.0068
2.9334 4.7463 -0.0068
-3.6470 -3.4678 2.4096
Ag Mn Os
2 1 1
Cartesian
4.2207 2.3557 0.0000 Ag
0.0359 0.0200 0.0000 Ag
1.7715 1.8271 1.2014 Mn
3.0946 -0.5435 1.2082 Os
```

Results
ΔE to the lowest computed polymorph, meV/atom: 222
SG: Immm

***

ZrFe2Se: optimized geometry, PBE.

```
ZrFe2Se
1.0
4.0288 0.0000 0.0000
0.0000 3.3456 -0.0768
0.0000 0.0939 4.9156
Zr Fe Se
1 2 1
Cartesian
2.0144 2.5796 3.6291 Zr
0.0000 0.8821 2.5358 Fe
0.0000 0.9316 4.7992 Fe
2.0144 0.8599 1.2097 Se
```

Results
SG: P2/m
Formation energy from raw total energies, eV per atom: -0.1464

***

MnZn6Au8: optimized geometry, PBE.

```
MnZn6Au8
1.0
7.6489 0.0002 0.0000
3.8243 6.6243 0.0000
3.8244 2.2082 5.3725
Au Zn Mn
8 6 1
Cartesian
10.0375 4.6664 1.7269 Au
8.6267 6.6101 3.6456 Au
6.2379 6.3601 1.7269 Au
9.0597 2.4727 3.6456 Au
5.2601 4.1664 3.6456 Au
6.6709 2.2227 1.7269 Au
11.4732 6.6246 3.1809 Au
3.8244 2.2082 2.1916 Au
6.5536 2.0704 4.5197 Zn
6.1647 6.5378 4.5197 Zn
5.0696 4.1918 0.8528 Zn
9.1329 2.2950 0.8528 Zn
8.7440 6.7623 0.8528 Zn
10.2280 4.6409 4.5197 Zn
0.0000 0.0000 0.0000 Mn
```

Results
Total DFT energy (no corrections), eV/atom: -2.979
SG: R-3

***

KSe2S6: optimized geometry, PBE.

```
KSe2S6
1.0
-2.5808 -4.1276 -1.3719
6.4141 -3.3514 1.6978
-8.1875 1.1461 5.0576
S Se K
6 2 1
Cartesian
-3.4729 -0.1179 1.7568 S
-1.6772 -2.4523 4.6410 S
-7.5605 -4.1287 4.4268 S
-5.8786 -2.5750 1.4081 S
-6.8362 -0.4862 5.1913 S
-3.2125 -5.1042 2.3840 S
0.7952 -4.0440 1.2235 Se
-3.7319 -3.0161 2.9687 Se
3.3899 -6.3887 1.2192 K
```

Results
SG: P1
Formation energy from raw total energies, eV per atom: -0.0855

***

NbCu2Te8: optimized geometry, PBE.

```
NbCu2Te8
1.0
6.1972 -0.1111 -0.0843
-0.2112 8.1778 1.1699
-0.2112 3.3287 7.5607
Te Cu Nb
8 2 1
Cartesian
1.6922 10.1458 7.6982 Te
1.1600 8.1482 3.7282 Te
5.2897 7.2331 5.4882 Te
1.1600 5.7845 6.8434 Te
4.6149 3.2472 4.9182 Te
4.6149 5.6109 1.8030 Te
0.4852 4.1623 3.1581 Te
4.0826 1.2496 0.9481 Te
5.4134 9.2254 6.9999 Cu
0.3615 2.1700 1.6465 Cu
0.0000 0.0000 0.0000 Nb
```

Results
SG: C2/m
Formation energy from raw total energies, eV per atom: -0.0380

***

Ba2NaAgPd: optimized geometry, PBE.

```
Ba2NaAgPd
1.0
6.1172 0.0000 0.0000
0.0000 6.1172 0.0000
0.0000 0.0000 5.3976
Na Ba Ag Pd
1 2 1 1
Cartesian
0.0000 0.0000 2.6988 Na
0.0000 3.0586 0.0000 Ba
3.0586 0.0000 0.0000 Ba
3.0586 3.0586 2.6988 Ag
0.0000 0.0000 0.0000 Pd
```

Results
ΔE to the lowest computed polymorph, meV/atom: 31
SG: P4/mmm

***

GdBrCl: optimized geometry, PBE.

```
GdBrCl
1.0
3.9415 0.0000 0.0000
-1.9708 3.4135 0.0000
0.0000 0.0000 7.2031
Br Cl Gd
1 1 1
Cartesian
0.0000 0.0000 0.6397 Br
0.0000 2.2757 4.0928 Cl
1.9708 1.1378 2.4706 Gd
```

Results
SG: P3m1
Formation energy from raw total energies, eV per atom: -1.8023

***

Sr2TlGaSn2: optimized geometry, PBE.

```
Sr2TlGaSn2
1.0
7.2536 0.0000 0.0000
0.0000 7.1185 0.0000
-3.6268 -3.5592 7.3885
Ga Sn Sr Tl
2 4 4 2
Cartesian
3.6268 1.7796 0.0000 Ga
3.6268 5.3389 0.0000 Ga
1.6295 0.0000 5.6820 Sn
-1.6295 3.5592 5.6820 Sn
1.9973 3.5592 1.7065 Sn
5.2563 0.0000 1.7065 Sn
1.7952 3.5593 5.1118 Sr
-1.7952 0.0000 5.1118 Sr
5.4220 3.5592 2.2767 Sr
1.8316 0.0000 2.2767 Sr
0.0000 5.3389 0.0000 Tl
0.0000 1.7796 0.0000 Tl
```

Results
Total DFT energy (no corrections), eV/atom: -3.206
SG: Ibam

***

KTb3F12: optimized geometry, PBE.

```
KTb3F12
1.0
-5.1870 2.5707 3.7557
-2.4220 -3.8455 -5.1927
3.9439 -3.9538 4.0536
Tb F K
3 12 1
Cartesian
-3.8045 -0.6374 -0.7185 Tb
-1.1413 -4.2184 -0.9288 Tb
-2.5238 -1.0103 3.5454 Tb
-2.1236 -2.1916 -0.7682 F
-3.2451 -4.7298 -0.0501 F
1.1116 -2.5926 3.8858 F
1.7425 -4.0130 1.8057 F
-0.9106 -4.4575 1.3046 F
-1.5415 -3.0371 3.3848 F
0.9973 -5.1369 -0.7237 F
-4.6624 -0.0918 3.3402 F
-5.4076 -1.2157 0.8109 F
-4.7767 -2.6361 -1.2693 F
-2.7545 -0.7711 1.3119 F
-0.4200 -0.4989 2.6667 F
0.0000 0.0000 0.0000 K
```

Results
SG: I4/m
Formation energy from raw total energies, eV per atom: -3.4103

***

LiReF2: optimized geometry, PBE.

```
LiReF2
1.0
4.8432 0.0000 0.0000
0.0000 4.8432 0.0000
2.4216 2.4216 4.1411
Re Li F
2 2 4
Cartesian
0.0000 0.0000 0.0000 Re
4.8432 2.4216 2.0706 Re
2.4216 2.4216 0.0000 Li
2.4216 4.8432 2.0706 Li
6.0540 5.6392 3.1058 F
1.6256 3.6324 1.0353 F
3.2176 1.2108 1.0353 F
3.6324 4.0472 3.1058 F
```

Results
ΔE to the lowest computed polymorph, meV/atom: 1076
SG: I-42d
Formation energy from raw total energies, eV per atom: -0.7570

***

FeBr3N: optimized geometry, PBE.

```
FeBr3N
1.0
-1.0298 -3.6257 -6.1739
-5.4248 -4.4618 -1.6971
-2.1659 11.3687 -0.1032
N Br Fe
2 6 2
Cartesian
-5.4037 -6.0196 -6.6117 N
-5.3444 7.2498 -4.1588 N
-2.7261 6.9356 -1.5907 Br
-1.5640 2.3801 -1.2983 Br
-7.0867 -2.9161 -7.7336 Br
-4.6883 -0.8187 -4.9756 Br
-6.0541 2.0451 -5.7832 Br
-3.6563 4.1453 -3.0253 Br
-6.6910 0.3624 -4.0345 Fe
-4.0510 0.8639 -6.7244 Fe
```

Results
ΔE to the lowest computed polymorph, meV/atom: 0
SG: P1
Formation energy from raw total energies, eV per atom: 0.8311